1.
Below is an optimized crystal structure of NaAcTl6, with properties calculated at the GGA-PBE level. Values from VASP.

Summary:
Formation enthalpy at 0 K: -0.153 eV per atom
Magnetization: 0.0 μB/cell
Relative energy among the computed polymorphs: 3 meV/atom
Volume: 30.5 Å³/atom

Geometry as Quantum ESPRESSO input:
```
&SYSTEM
  ibrav = 0, nat = 8, ntyp = 3
/
ATOMIC_SPECIES
Na 22.99 Na.upf
Ac 227.00 Ac.upf
Tl 204.38 Tl.upf
CELL_PARAMETERS angstrom
4.950 -4.955 0.000
4.950 4.955 0.000
0.000 0.000 4.976
ATOMIC_POSITIONS angstrom
Na 0.000 0.000 0.000
Ac 4.950 0.000 0.000
Tl 2.475 2.477 0.000
Tl 2.420 0.000 2.488
Tl 4.950 2.532 2.488
Tl 2.475 -2.477 0.000
Tl 4.950 -2.532 2.488
Tl 7.480 0.000 2.488
```



2.
Below is an optimized crystal structure of LiCd4Mo, with properties calculated at the GGA-PBE level. Values from VASP.

Summary:
Formation enthalpy at 0 K: 0.418 eV per atom
Magnetization: 3.6 μB/cell
Volume: 21.4 Å³/atom

Geometry as Quantum ESPRESSO input:
```
&SYSTEM
  ibrav = 0, nat = 6, ntyp = 3
/
ATOMIC_SPECIES
Li 6.94 Li.upf
Cd 112.41 Cd.upf
Mo 95.94 Mo.upf
CELL_PARAMETERS angstrom
0.000 4.007 4.007
4.007 0.000 4.007
4.007 4.007 0.000
ATOMIC_POSITIONS angstrom
Li 0.000 0.000 0.000
Cd 3.006 3.006 3.006
Cd 5.009 5.009 3.006
Cd 5.009 3.006 5.009
Cd 3.006 5.009 5.009
Mo 6.011 6.011 6.011
```



3.
Below is an optimized crystal structure of RbCrS3, with properties calculated at the GGA-PBE level. Values from VASP.

Summary:
Formation energy from raw total energies: -0.738 eV/atom
Magnetization: 2.0 μB/cell
Relative energy among the computed polymorphs: 0 meV/atom
Volume: 27.7 Å³/atom

Geometry as Quantum ESPRESSO input:
```
&SYSTEM
  ibrav = 0, nat = 10, ntyp = 3
/
ATOMIC_SPECIES
Rb 85.47 Rb.upf
Cr 52.00 Cr.upf
S 32.06 S.upf
CELL_PARAMETERS angstrom
6.583 0.000 0.000
0.000 6.255 0.000
-2.160 0.000 6.721
ATOMIC_POSITIONS angstrom
Rb 0.664 1.564 2.205
Rb 3.759 4.691 4.516
Cr 2.633 4.691 0.261
Cr 1.791 1.564 6.460
S 0.694 4.691 0.942
S 0.640 3.145 5.306
S 0.640 6.237 5.306
S 3.783 0.018 1.415
S 3.783 3.110 1.415
S 3.729 1.564 5.779
```



4.
Below is an optimized crystal structure of MnFeSi2, with properties calculated at the GGA-PBE level. Values from VASP.

Summary:
Formation energy from raw total energies: -0.419 eV/atom
Magnetization: 0.4 μB/cell
Volume: 10.7 Å³/atom

Geometry as Quantum ESPRESSO input:
```
&SYSTEM
  ibrav = 0, nat = 4, ntyp = 3
/
ATOMIC_SPECIES
Mn 54.94 Mn.upf
Fe 55.84 Fe.upf
Si 28.09 Si.upf
CELL_PARAMETERS angstrom
3.930 0.000 0.000
0.000 3.930 0.000
0.000 0.000 2.771
ATOMIC_POSITIONS angstrom
Mn 0.000 0.000 0.000
Fe 1.965 1.965 0.000
Si 0.000 1.965 1.385
Si 1.965 0.000 1.385
```



5.
Below is an optimized crystal structure of BaPHCl2, with properties calculated at the GGA-PBE level. Values from VASP.

Summary:
Magnetization: 2.7 μB/cell
Relative energy among the computed polymorphs: 471 meV/atom
Volume: 24.6 Å³/atom

Geometry as Quantum ESPRESSO input:
```
&SYSTEM
  ibrav = 0, nat = 5, ntyp = 4
/
ATOMIC_SPECIES
Ba 137.33 Ba.upf
P 30.97 P.upf
H 1.01 H.upf
Cl 35.45 Cl.upf
CELL_PARAMETERS angstrom
5.309 0.000 0.000
0.000 5.309 0.000
0.000 0.000 4.359
ATOMIC_POSITIONS angstrom
Ba 0.000 0.000 0.000
P 2.654 2.654 0.000
H 0.000 0.000 2.180
Cl 0.000 2.654 2.180
Cl 2.654 0.000 2.180
```



6.
Below is an optimized crystal structure of Nd2Dy6Y3Ho, with properties calculated at the GGA-PBE level. Values from VASP.

Summary:
Formation enthalpy at 0 K: 0.018 eV per atom
Magnetization: 0.0 μB/cell
Volume: 32.2 Å³/atom

Geometry as Quantum ESPRESSO input:
```
&SYSTEM
  ibrav = 0, nat = 12, ntyp = 4
/
ATOMIC_SPECIES
Nd 144.24 Nd.upf
Dy 162.50 Dy.upf
Y 88.91 Y.upf
Ho 164.93 Ho.upf
CELL_PARAMETERS angstrom
3.094 -5.355 0.000
3.094 5.355 0.000
-2.051 0.000 11.656
ATOMIC_POSITIONS angstrom
Nd 3.094 3.570 0.000
Nd 3.094 -3.570 0.000
Dy 0.007 1.781 8.726
Dy 1.044 0.000 2.932
Dy 0.007 -1.781 8.726
Dy 4.130 1.781 2.931
Dy 3.093 0.000 8.724
Dy 4.130 -1.781 2.931
Y -1.026 0.000 5.828
Y 2.069 1.782 5.828
Y 2.069 -1.782 5.828
Ho 3.094 0.000 0.000
```



7.
Below is an optimized crystal structure of BBr3Cl, with properties calculated at the GGA-PBE level. Values from VASP.

Summary:
Formation energy from raw total energies: -0.164 eV/atom
Magnetization: 4.0 μB/cell
Relative energy among the computed polymorphs: 0 meV/atom
Volume: 36.5 Å³/atom

Geometry as Quantum ESPRESSO input:
```
&SYSTEM
  ibrav = 0, nat = 20, ntyp = 3
/
ATOMIC_SPECIES
B 10.81 B.upf
Br 79.90 Br.upf
Cl 35.45 Cl.upf
CELL_PARAMETERS angstrom
7.764 0.000 0.000
0.000 6.834 0.000
-6.510 0.000 13.740
ATOMIC_POSITIONS angstrom
B 0.857 1.147 0.118
B -2.398 2.271 6.988
B 3.652 4.564 6.752
B 0.397 5.688 13.622
Br -1.446 1.435 5.528
Br -4.702 1.982 12.398
Br -2.034 4.366 7.119
Br 1.221 5.886 0.249
Br -2.150 1.443 8.786
Br 1.106 1.974 1.915
Br 0.148 4.860 11.825
Br 3.403 5.391 4.955
Br 0.033 0.948 13.491
Br 3.288 2.469 6.621
Br 5.955 4.852 1.343
Br 2.700 5.399 8.213
Cl 0.921 4.289 4.694
Cl -2.334 5.963 11.564
Cl 3.588 0.872 2.176
Cl 0.333 2.545 9.046
```



8.
Below is an optimized crystal structure of HfScCl2, with properties calculated at the GGA-PBE level. Values from VASP.

Summary:
Formation energy from raw total energies: -0.903 eV/atom
Magnetization: 0.0 μB/cell
Relative energy among the computed polymorphs: 0 meV/atom
Volume: 20.4 Å³/atom

Geometry as Quantum ESPRESSO input:
```
&SYSTEM
  ibrav = 0, nat = 4, ntyp = 3
/
ATOMIC_SPECIES
Hf 178.49 Hf.upf
Sc 44.96 Sc.upf
Cl 35.45 Cl.upf
CELL_PARAMETERS angstrom
1.631 0.942 8.856
-1.631 0.942 8.856
0.000 -1.884 8.856
ATOMIC_POSITIONS angstrom
Hf 0.000 0.000 0.000
Sc 0.000 0.000 13.283
Cl 0.000 0.000 2.614
Cl 0.000 0.000 23.952
```